# K3NaFeCl6

A relaxed structure of K3NaFeCl6 (PBEsol, Alexandria via LeMat-Bulk).

Geometry as POSCAR:
```
K3NaFeCl6
1.0
6.281 3.626 2.265
-6.281 3.626 2.265
0.000 -7.252 2.265
K Na Fe Cl
3 1 1 6
Direct
0.000 0.500 0.500
0.500 0.000 0.500
0.500 0.500 0.000
0.000 0.000 0.000
0.500 0.500 0.500
0.194 0.194 0.470
0.194 0.470 0.194
0.470 0.194 0.194
0.530 0.806 0.806
0.806 0.530 0.806
0.806 0.806 0.530
```

## Properties
Magnetization (Bohr magnetons per cell): 4.0
Formation energy without anion corrections (meV per atom): -1522.8


# KFeSCl2

A relaxed structure of KFeSCl2 (PBEsol, Alexandria via LeMat-Bulk).

Geometry as POSCAR:
```
KFeSCl2
1.0
4.924 0.000 0.000
0.000 4.924 0.000
0.000 0.000 4.443
K Fe S Cl
1 1 1 2
Direct
0.000 0.000 0.000
0.500 0.500 0.500
0.500 0.500 0.000
0.000 0.500 0.500
0.500 0.000 0.500
```

## Properties
Magnetization (Bohr magnetons per cell): 4.0
Formation energy without anion corrections (meV per atom): -859.5


# LaFe3Cl

A relaxed structure of LaFe3Cl (PBEsol, Alexandria via LeMat-Bulk).

Geometry as POSCAR:
```
LaFe3Cl
1.0
4.604 0.000 0.000
0.000 4.604 0.000
0.000 0.000 4.604
La Fe Cl
1 3 1
Direct
0.000 0.000 0.000
0.000 0.000 0.500
0.000 0.500 0.000
0.500 0.000 0.000
0.500 0.500 0.500
```

## Properties
Magnetization (Bohr magnetons per cell): 5.7
Formation energy without anion corrections (meV per atom): 1793.8


# La2FeCl

A relaxed structure of La2FeCl (PBEsol, Alexandria via LeMat-Bulk).

Geometry as POSCAR:
```
La2FeCl
1.0
4.113 0.000 0.000
0.000 4.113 0.000
0.000 0.000 5.685
La Fe Cl
2 1 1
Direct
0.000 0.000 0.000
0.500 0.500 0.439
0.500 0.500 0.059
0.000 0.000 0.501
```

## Properties
Magnetization (Bohr magnetons per cell): 0.0
Formation energy without anion corrections (meV per atom): -715.8


# La2FeCl

A relaxed structure of La2FeCl (PBEsol, Alexandria via LeMat-Bulk).

Geometry as POSCAR:
```
La2FeCl
1.0
5.101 0.000 0.000
0.000 5.101 0.000
0.000 0.000 3.359
La Fe Cl
2 1 1
Direct
0.000 0.500 0.000
0.500 0.000 0.000
0.000 0.000 0.500
0.500 0.500 0.500
```

## Properties
Magnetization (Bohr magnetons per cell): 1.2
Formation energy without anion corrections (meV per atom): -423.4


# LaFePCl2

A relaxed structure of LaFePCl2 (PBEsol, Alexandria via LeMat-Bulk).

Geometry as POSCAR:
```
LaFePCl2
1.0
4.538 0.000 0.000
0.000 4.538 0.000
0.000 0.000 4.712
La Fe P Cl
1 1 1 2
Direct
0.000 0.000 0.000
0.500 0.500 0.500
0.500 0.500 0.000
0.000 0.500 0.500
0.500 0.000 0.500
```

## Properties
Magnetization (Bohr magnetons per cell): 2.4
Formation energy without anion corrections (meV per atom): -851.1


# RbLaZr6FeCl18

A relaxed structure of RbLaZr6FeCl18 (PBEsol, Alexandria via LeMat-Bulk).

Geometry as POSCAR:
```
RbLaZr6FeCl18
1.0
9.588 0.000 0.000
-4.794 8.303 0.000
0.000 0.000 18.339
Rb La Zr Fe Cl
2 2 12 2 36
Direct
0.333 0.667 0.250
0.667 0.333 0.750
0.333 0.667 0.750
0.667 0.333 0.250
0.043 0.223 0.575
0.043 0.820 0.925
0.180 0.223 0.925
0.180 0.957 0.575
0.223 0.043 0.075
0.223 0.180 0.425
0.777 0.820 0.575
0.777 0.957 0.925
0.820 0.043 0.425
0.820 0.777 0.075
0.957 0.180 0.075
0.957 0.777 0.425
0.000 0.000 0.000
0.000 0.000 0.500
0.045 0.236 0.340
0.045 0.809 0.160
0.074 0.457 0.663
0.074 0.617 0.837
0.146 0.425 0.000
0.146 0.721 0.500
0.191 0.236 0.160
0.191 0.955 0.340
0.236 0.045 0.840
0.236 0.191 0.660
0.279 0.425 0.500
0.279 0.854 0.000
0.383 0.457 0.837
0.383 0.926 0.663
0.425 0.146 0.500
0.425 0.279 0.000
0.457 0.074 0.163
0.457 0.383 0.337
0.543 0.617 0.663
0.543 0.926 0.837
0.575 0.721 0.000
0.575 0.854 0.500
0.617 0.074 0.337
0.617 0.543 0.163
0.721 0.146 0.000
0.721 0.575 0.500
0.764 0.809 0.340
0.764 0.955 0.160
0.809 0.045 0.660
0.809 0.764 0.840
0.854 0.279 0.500
0.854 0.575 0.000
0.926 0.383 0.163
0.926 0.543 0.337
0.955 0.191 0.840
0.955 0.764 0.660
```

## Properties
Magnetization (Bohr magnetons per cell): 0.0
Formation energy without anion corrections (meV per atom): -1825.5


# Li2FeCl

A relaxed structure of Li2FeCl (PBEsol, Alexandria via LeMat-Bulk).

Geometry as POSCAR:
```
Li2FeCl
1.0
3.074 -3.086 0.000
3.074 3.086 0.000
0.000 0.000 3.112
Li Fe Cl
2 1 1
Direct
0.000 0.500 0.000
0.500 0.000 0.000
0.000 0.000 0.500
0.500 0.500 0.500
```

## Properties
Magnetization (Bohr magnetons per cell): 3.0
Formation energy without anion corrections (meV per atom): -29.2


# Li2FeCl

A relaxed structure of Li2FeCl (PBEsol, Alexandria via LeMat-Bulk).

Geometry as POSCAR:
```
Li2FeCl
1.0
-3.329 3.329 3.101
3.329 -3.329 3.101
3.329 3.329 -3.101
Li Fe Cl
4 2 2
Direct
0.080 0.125 0.455
0.375 0.920 0.045
0.670 0.625 0.545
0.875 0.330 0.955
0.250 0.750 0.500
0.500 0.500 0.000
0.000 0.000 0.000
0.750 0.250 0.500
```

## Properties
Magnetization (Bohr magnetons per cell): 5.9
Formation energy without anion corrections (meV per atom): 43.2


# LiFeCl2

A relaxed structure of LiFeCl2 (PBEsol, Alexandria via LeMat-Bulk).

Geometry as POSCAR:
```
LiFeCl2
1.0
1.721 0.994 6.001
-1.721 0.994 6.001
0.000 -1.988 6.001
Li Fe Cl
1 1 2
Direct
0.000 0.000 0.000
0.500 0.500 0.500
0.250 0.250 0.250
0.750 0.750 0.750
```

## Properties
Magnetization (Bohr magnetons per cell): 3.0
Formation energy without anion corrections (meV per atom): -723.5


# Li2FeCl

A relaxed structure of Li2FeCl (PBEsol, Alexandria via LeMat-Bulk).

Geometry as POSCAR:
```
Li2FeCl
1.0
1.505 0.869 7.776
-1.505 0.869 7.776
0.000 -1.737 7.776
Li Fe Cl
2 1 1
Direct
0.235 0.235 0.235
0.765 0.765 0.765
0.000 0.000 0.000
0.500 0.500 0.500
```

## Properties
Magnetization (Bohr magnetons per cell): 2.7
Formation energy without anion corrections (meV per atom): -293.9


# Li6FeCl8

A relaxed structure of Li6FeCl8 (PBEsol, Alexandria via LeMat-Bulk).

Geometry as POSCAR:
```
Li6FeCl8
1.0
0.000 5.063 5.063
5.063 0.000 5.063
5.063 5.063 0.000
Li Fe Cl
6 1 8
Direct
0.000 0.000 0.500
0.000 0.500 0.000
0.000 0.500 0.500
0.500 0.000 0.000
0.500 0.000 0.500
0.500 0.500 0.000
0.000 0.000 0.000
0.241 0.241 0.759
0.241 0.759 0.241
0.241 0.759 0.759
0.250 0.250 0.250
0.750 0.750 0.750
0.759 0.241 0.241
0.759 0.241 0.759
0.759 0.759 0.241
```

## Properties
Magnetization (Bohr magnetons per cell): 4.0
Formation energy without anion corrections (meV per atom): -1584.3


# LiFe2Cl2O2

A relaxed structure of LiFe2Cl2O2 (PBEsol, Alexandria via LeMat-Bulk).

Geometry as POSCAR:
```
LiFe2Cl2O2
1.0
3.369 0.000 0.000
0.000 3.853 0.000
0.000 0.000 7.993
Li Fe Cl O
1 2 2 2
Direct
0.000 0.000 0.000
0.000 0.000 0.441
0.500 0.500 0.597
0.000 0.500 0.836
0.500 0.000 0.201
0.000 0.500 0.451
0.500 0.000 0.590
```

## Properties
Magnetization (Bohr magnetons per cell): 7.9
Formation energy without anion corrections (meV per atom): -1140.7


# Mg2FeCl

A relaxed structure of Mg2FeCl (PBEsol, Alexandria via LeMat-Bulk).

Geometry as POSCAR:
```
Mg2FeCl
1.0
-1.506 2.381 5.071
1.506 -2.381 5.071
1.506 2.381 -5.071
Mg Fe Cl
2 1 1
Direct
0.000 0.000 0.000
0.695 0.195 0.500
0.474 0.474 0.000
0.294 0.794 0.500
```

## Properties
Magnetization (Bohr magnetons per cell): 2.3
Formation energy without anion corrections (meV per atom): -12.1


# MgFeCl

A relaxed structure of MgFeCl (PBEsol, Alexandria via LeMat-Bulk).

Geometry as POSCAR:
```
MgFeCl
1.0
0.000 2.569 5.904
1.654 0.000 5.904
1.654 2.569 0.000
Mg Fe Cl
1 1 1
Direct
0.000 0.000 0.000
0.670 0.670 0.330
0.327 0.327 0.673
```

## Properties
Magnetization (Bohr magnetons per cell): 2.8
Formation energy without anion corrections (meV per atom): -10.8


# Mg2FeCl

A relaxed structure of Mg2FeCl (PBEsol, Alexandria via LeMat-Bulk).

Geometry as POSCAR:
```
Mg2FeCl
1.0
2.991 0.000 0.000
0.000 3.105 0.000
0.000 0.000 7.686
Mg Fe Cl
2 1 1
Direct
0.000 0.000 0.225
0.000 0.000 0.775
0.500 0.500 0.000
0.500 0.000 0.500
```

## Properties
Magnetization (Bohr magnetons per cell): 2.1
Formation energy without anion corrections (meV per atom): -263.3


# Mn2FeCl

A relaxed structure of Mn2FeCl (PBEsol, Alexandria via LeMat-Bulk).

Geometry as POSCAR:
```
Mn2FeCl
1.0
2.670 0.000 0.000
0.000 2.670 0.000
0.000 0.000 6.523
Mn Fe Cl
2 1 1
Direct
0.000 0.000 0.243
0.000 0.000 0.757
0.500 0.500 0.000
0.500 0.500 0.500
```

## Properties
Magnetization (Bohr magnetons per cell): 3.2
Formation energy without anion corrections (meV per atom): 412.4


# Mn2FeCl

A relaxed structure of Mn2FeCl (PBEsol, Alexandria via LeMat-Bulk).

Geometry as POSCAR:
```
Mn2FeCl
1.0
4.091 0.000 0.000
0.000 4.091 0.000
0.000 0.000 2.675
Mn Fe Cl
2 1 1
Direct
0.000 0.500 0.000
0.500 0.000 0.000
0.000 0.000 0.500
0.500 0.500 0.500
```

## Properties
Magnetization (Bohr magnetons per cell): 4.0
Formation energy without anion corrections (meV per atom): 686.0


# MnFeCl

A relaxed structure of MnFeCl (PBEsol, Alexandria via LeMat-Bulk).

Geometry as POSCAR:
```
MnFeCl
1.0
0.000 2.804 2.804
2.804 0.000 2.804
2.804 2.804 0.000
Mn Fe Cl
1 1 1
Direct
0.000 0.000 0.000
0.500 0.500 0.500
0.250 0.250 0.250
```

## Properties
Magnetization (Bohr magnetons per cell): 6.5
Formation energy without anion corrections (meV per atom): 875.5


# Mn2FeCl

A relaxed structure of Mn2FeCl (PBEsol, Alexandria via LeMat-Bulk).

Geometry as POSCAR:
```
Mn2FeCl
1.0
2.700 0.000 0.000
0.000 2.700 0.000
0.000 0.000 6.546
Mn Fe Cl
2 1 1
Direct
0.000 0.000 0.000
0.500 0.500 0.247
0.500 0.500 0.764
0.000 0.000 0.502
```

## Properties
Magnetization (Bohr magnetons per cell): 3.1
Formation energy without anion corrections (meV per atom): 374.5


# MnFeCl

A relaxed structure of MnFeCl (PBEsol, Alexandria via LeMat-Bulk).

Geometry as POSCAR:
```
MnFeCl
1.0
0.000 2.477 5.738
1.541 0.000 5.738
1.541 2.477 0.000
Mn Fe Cl
1 1 1
Direct
0.000 0.000 0.000
0.667 0.667 0.333
0.332 0.332 0.668
```

## Properties
Magnetization (Bohr magnetons per cell): 6.8
Formation energy without anion corrections (meV per atom): 353.1


# MnFe2Cl

A relaxed structure of MnFe2Cl (PBEsol, Alexandria via LeMat-Bulk).

Geometry as POSCAR:
```
MnFe2Cl
1.0
3.448 0.000 0.000
0.000 3.448 0.000
0.000 0.000 4.384
Mn Fe Cl
1 2 1
Direct
0.000 0.000 0.000
0.000 0.500 0.500
0.500 0.000 0.500
0.500 0.500 0.000
```

## Properties
Magnetization (Bohr magnetons per cell): 9.0
Formation energy without anion corrections (meV per atom): 668.0


# FeMoClO4

A relaxed structure of FeMoClO4 (PBEsol, Alexandria via LeMat-Bulk).

Geometry as POSCAR:
```
FeMoClO4
1.0
6.650 0.000 0.000
0.000 6.650 0.000
0.000 0.000 5.397
Fe Mo Cl O
2 2 2 8
Direct
0.250 0.250 0.225
0.750 0.750 0.775
0.250 0.750 0.500
0.750 0.250 0.500
0.250 0.250 0.821
0.750 0.750 0.179
0.035 0.750 0.691
0.250 0.535 0.309
0.250 0.965 0.309
0.465 0.750 0.691
0.535 0.250 0.309
0.750 0.035 0.691
0.750 0.465 0.691
0.965 0.250 0.309
```

## Properties
Magnetization (Bohr magnetons per cell): 10.0
Formation energy without anion corrections (meV per atom): -1516.0


# Ti2FeMoCl

A relaxed structure of Ti2FeMoCl (PBEsol, Alexandria via LeMat-Bulk).

Geometry as POSCAR:
```
Ti2FeMoCl
1.0
4.559 0.000 0.000
0.000 4.559 0.000
0.000 0.000 4.336
Ti Fe Mo Cl
2 1 1 1
Direct
0.000 0.500 0.000
0.500 0.000 0.000
0.000 0.000 0.000
0.000 0.000 0.500
0.500 0.500 0.500
```

## Properties
Magnetization (Bohr magnetons per cell): 0.0
Formation energy without anion corrections (meV per atom): 687.4


# Fe2NCl2

A relaxed structure of Fe2NCl2 (PBEsol, Alexandria via LeMat-Bulk).

Geometry as POSCAR:
```
Fe2NCl2
1.0
-2.269 2.269 4.792
2.269 -2.269 4.792
2.269 2.269 -4.792
Fe N Cl
2 1 2
Direct
0.168 0.168 0.000
0.832 0.832 0.000
0.000 0.000 0.000
0.250 0.750 0.500
0.750 0.250 0.500
```

## Properties
Magnetization (Bohr magnetons per cell): 3.0
Formation energy without anion corrections (meV per atom): 85.0